The following is a PBE calculation of a relaxed structure of CsTlAsRh, from Alexandria.

abc: 4.2314 4.2314 14.2927
angles: 90.00 90.00 90.00
Sites, in units of the cell vectors:
Cs  0.2500  0.2500  0.2395
Cs  0.7500  0.7500  0.7605
Tl  0.2500  0.7500  0.5000
Tl  0.7500  0.2500  0.5000
As  0.2500  0.2500  0.9100
As  0.7500  0.7500  0.0900
Rh  0.2500  0.7500  0.0000
Rh  0.7500  0.2500  0.0000

Properties
For the density of states at the Fermi level, the calculation gives 6.1 states/eV per cell. Its formation energy is -0.368 eV per atom. The space group is P4/nmm (129). The calculation puts the total moment at 0.00 Bohr magnetons per cell.